# 1
Here is a geometry-optimized CsLiTbCl5 structure from Alexandria via LeMat-Bulk. Energies are from PBE-GGA.

POSCAR file:
```
CsLiTbCl5
1.0
7.753 0.033 -0.076
-2.232 7.425 -0.076
-2.385 -3.222 9.405
Cs Cl Li Tb
2 10 2 2
Direct
0.661 0.339 0.750
0.339 0.661 0.250
0.711 0.107 0.399
0.365 0.228 0.089
0.289 0.893 0.601
0.228 0.365 0.589
0.635 0.772 0.911
0.893 0.289 0.101
0.107 0.711 0.899
0.772 0.635 0.411
0.937 0.063 0.750
0.063 0.937 0.250
0.692 0.308 0.250
0.308 0.692 0.750
0.000 0.000 0.000
0.000 0.000 0.500
```

Results
SG = No. 15
raw formation energy = -2122 meV/atom


# 2
Here is a geometry-optimized Pm3Er4Ge4 structure from Alexandria via LeMat-Bulk. Energies are from PBE-GGA.

POSCAR file:
```
Pm3Er4Ge4
1.0
4.078 0.000 0.000
0.000 8.863 0.000
-2.039 -4.431 8.031
Er Pm Ge
4 3 4
Direct
0.329 0.137 0.658
0.329 0.520 0.658
0.671 0.480 0.342
0.671 0.863 0.342
0.894 0.894 0.789
0.000 0.500 0.000
0.106 0.106 0.211
0.250 0.750 0.500
0.500 0.783 0.000
0.500 0.217 0.000
0.750 0.250 0.500
```

Results
SG = No. 71
calculated formation energy = -634 meV per atom


Question: Number 2 is which compound?
Answer: Pm3Er4Ge4


Question: What is the formula in the first record?
Answer: CsLiTbCl5